Model a:
Crystalline KPdC3 at its relaxed geometry. Source: the Alexandria database, functional PBE.

Properties
For the density of states at the Fermi level, the calculation gives 0.6410 states/eV per atom.

The structure in extended XYZ format:
```
5
Lattice="4.296 0.000 0.000 0.000 4.296 0.000 0.000 0.000 4.296" Properties=species:S:1:pos:R:3 pbc="T T T"
K 0.000 0.000 0.000
Pd 2.148 2.148 2.148
C 0.000 0.000 2.148
C 0.000 2.148 0.000
C 2.148 0.000 0.000
```

Model b:
Crystalline KPdC3 at its relaxed geometry. Source: the Alexandria database, functional PBE.

Properties
For the density of states at the Fermi level, the calculation gives 1.6817 states/eV per atom.

The structure in extended XYZ format:
```
5
Lattice="4.207 0.000 0.000 0.000 4.207 0.000 0.000 0.000 4.207" Properties=species:S:1:pos:R:3 pbc="T T T"
K 0.000 0.000 0.000
Pd 2.103 2.103 2.103
C 0.000 2.103 2.103
C 2.103 0.000 2.103
C 2.103 2.103 0.000
```

Stability summary: most stable model b, least stable model a.

Model a:
Crystalline KPtC3 at its relaxed geometry. Source: the Alexandria database, functional PBE.

Properties
For the density of states at the Fermi level, the calculation gives 0.5211 states/eV per atom.

The structure in extended XYZ format:
```
5
Lattice="4.203 0.000 0.000 0.000 4.203 0.000 0.000 0.000 4.203" Properties=species:S:1:pos:R:3 pbc="T T T"
K 0.000 0.000 0.000
Pt 2.102 2.102 2.102
C 0.000 0.000 2.102
C 0.000 2.102 0.000
C 2.102 0.000 0.000
```

Model b:
Crystalline KPtC3 at its relaxed geometry. Source: the Alexandria database, functional PBE.

Properties
For the density of states at the Fermi level, the calculation gives 0.7941 states/eV per atom.

The structure in extended XYZ format:
```
5
Lattice="4.204 0.000 0.000 0.000 4.204 0.000 0.000 0.000 4.204" Properties=species:S:1:pos:R:3 pbc="T T T"
K 0.000 0.000 0.000
Pt 2.102 2.102 2.102
C 0.000 2.102 2.102
C 2.102 0.000 2.102
C 2.102 2.102 0.000
```

Stability summary: most stable model b, least stable model a.

Model a:
Crystalline K2RbC at its relaxed geometry. Source: the Alexandria database, functional PBE.

Properties
For the density of states at the Fermi level, the calculation gives 2.0467 states/eV per atom.

The structure in extended XYZ format:
```
8
Lattice="-4.526 4.526 6.433 4.526 -4.526 6.433 4.526 4.526 -6.433" Properties=species:S:1:pos:R:3 pbc="T T T"
K 0.011 2.263 1.608
K -2.263 4.515 4.824
K -0.011 6.790 1.608
K 2.263 4.537 4.824
Rb 4.526 0.000 3.216
Rb 0.000 0.000 6.433
C 0.000 0.000 0.000
C 0.000 4.526 3.216
```

Model b:
Crystalline K2RbC at its relaxed geometry. Source: the Alexandria database, functional PBE.

Properties
For the density of states at the Fermi level, the calculation gives 1.3760 states/eV per atom.

The structure in extended XYZ format:
```
4
Lattice="0.000 4.036 4.036 4.036 0.000 4.036 4.036 4.036 0.000" Properties=species:S:1:pos:R:3 pbc="T T T"
K 2.018 2.018 2.018
K 6.053 6.053 6.053
Rb 0.000 0.000 0.000
C 4.036 4.036 4.036
```

Stability summary: most stable model a, least stable model b.

Model a:
Crystalline KRb2C at its relaxed geometry. Source: the Alexandria database, functional PBE.

Properties
For the density of states at the Fermi level, the calculation gives 1.5998 states/eV per atom.

The structure in extended XYZ format:
```
8
Lattice="-4.571 4.571 6.455 4.571 -4.571 6.455 4.571 4.571 -6.455" Properties=species:S:1:pos:R:3 pbc="T T T"
K 0.000 0.000 0.000
K 0.000 4.571 3.227
Rb 2.286 4.514 -1.614
Rb 4.628 2.286 1.614
Rb 2.286 0.057 4.841
Rb -0.057 2.286 8.068
C 4.571 0.000 3.227
C 0.000 0.000 6.455
```

Model b:
Crystalline KRb2C at its relaxed geometry. Source: the Alexandria database, functional PBE.

Properties
For the density of states at the Fermi level, the calculation gives 1.8020 states/eV per atom.

The structure in extended XYZ format:
```
4
Lattice="0.000 4.173 4.173 4.173 0.000 4.173 4.173 4.173 0.000" Properties=species:S:1:pos:R:3 pbc="T T T"
K 0.000 0.000 0.000
Rb 2.086 2.086 2.086
Rb 6.259 6.259 6.259
C 4.173 4.173 4.173
```

Stability summary: most stable model a, least stable model b.

Model a:
Crystalline KRbC2 at its relaxed geometry. Source: the Alexandria database, functional PBE.

Properties
For the density of states at the Fermi level, the calculation gives 0.0000 states/eV per atom.

The structure in extended XYZ format:
```
8
Lattice="-3.917 3.917 4.731 3.917 -3.917 4.731 3.917 3.917 -4.731" Properties=species:S:1:pos:R:3 pbc="T T T"
K 0.000 0.000 0.000
K 0.000 3.917 2.366
Rb 3.917 0.000 2.366
Rb 0.000 0.000 4.731
C 5.875 1.841 -1.183
C 1.841 1.958 1.183
C -1.958 2.076 3.549
C 2.076 1.958 5.914
```

Model b:
Crystalline KRbC2 at its relaxed geometry. Source: the Alexandria database, functional PBE.

Properties
For the density of states at the Fermi level, the calculation gives 0.0640 states/eV per atom.

The structure in extended XYZ format:
```
4
Lattice="0.000 3.821 3.821 3.821 0.000 3.821 3.821 3.821 0.000" Properties=species:S:1:pos:R:3 pbc="T T T"
K 0.000 0.000 0.000
Rb 3.821 3.821 3.821
C 1.911 1.911 1.911
C 5.732 5.732 5.732
```

Stability summary: most stable model a, least stable model b.

Model a:
Crystalline KRb2C2 at its relaxed geometry. Source: the Alexandria database, functional PBE.

Properties
For the density of states at the Fermi level, the calculation gives 0.3428 states/eV per atom.

The structure in extended XYZ format:
```
5
Lattice="-2.885 2.885 5.641 2.885 -2.885 5.641 2.885 2.885 -5.641" Properties=species:S:1:pos:R:3 pbc="T T T"
K 0.000 0.000 0.000
Rb 0.000 0.000 3.750
Rb 0.000 0.000 7.532
C 2.885 0.000 2.821
C 0.000 2.885 2.821
```

Model b:
Crystalline KRb2C2 at its relaxed geometry. Source: the Alexandria database, functional PBE.

Properties
For the density of states at the Fermi level, the calculation gives 0.2941 states/eV per atom.

The structure in extended XYZ format:
```
10
Lattice="8.829 0.000 0.000 0.000 8.829 0.000 0.000 0.000 3.887" Properties=species:S:1:pos:R:3 pbc="T T T"
K 0.000 0.000 0.000
K 4.415 4.415 0.000
Rb 1.173 3.242 0.000
Rb 3.242 7.656 0.000
Rb 5.587 1.173 0.000
Rb 7.656 5.587 0.000
C 1.524 5.938 1.944
C 2.891 1.524 1.944
C 5.938 7.306 1.944
C 7.306 2.891 1.944
```

Stability summary: most stable model b, least stable model a.